VASP calculation (PBE) on a relaxed CsSiSn crystal.

Cell and atoms, written as CIF:
```
data_CsSiSn
_space_group_name_H-M_alt 'P 1'
_space_group_IT_number 1
_cell_length_a 7.263
_cell_length_b 8.209
_cell_length_c 10.767
_cell_angle_alpha 131.60
_cell_angle_beta 115.68
_cell_angle_gamma 31.03
loop_
_space_group_symop_operation_xyz
'x,y,z'
loop_
_atom_site_label
_atom_site_fract_x
_atom_site_fract_y
_atom_site_fract_z
Sn1 0.601 0.490 0.960
Sn2 0.778 0.161 0.474
Cs1 0.745 0.659 0.428
Cs2 0.634 0.992 0.005
Si1 0.219 0.670 0.740
Si2 0.161 0.981 0.693
```

## Properties
The calculated total energy is -3.457 eV per atom. The calculation puts the uncorrected formation energy at -0.030 eV per atom.

VASP calculation (PBE) on a relaxed La3Sc5Se12 crystal.

Cell and atoms, written as CIF:
```
data_La3Sc5Se12
_space_group_name_H-M_alt 'P 1'
_space_group_IT_number 1
_cell_length_a 14.349
_cell_length_b 14.349
_cell_length_c 14.349
_cell_angle_alpha 109.47
_cell_angle_beta 109.47
_cell_angle_gamma 109.47
loop_
_space_group_symop_operation_xyz
'x,y,z'
loop_
_atom_site_label
_atom_site_fract_x
_atom_site_fract_y
_atom_site_fract_z
Se1 0.876 0.588 0.912
Se2 0.788 0.324 0.912
Se3 0.464 0.788 0.876
Se4 0.088 0.176 0.464
Se5 0.088 0.912 0.376
Se6 0.412 0.288 0.324
Se7 0.964 0.588 0.176
Se8 0.376 0.412 0.088
Se9 0.588 0.712 0.676
Se10 0.176 0.088 0.964
Se11 0.088 0.912 0.124
Se12 0.588 0.876 0.412
Se13 0.912 0.088 0.876
Se14 0.324 0.536 0.412
Se15 0.824 0.912 0.036
Se16 0.676 0.464 0.588
Se17 0.212 0.536 0.624
Se18 0.124 0.712 0.536
Se19 0.536 0.324 0.912
Se20 0.412 0.376 0.588
Se21 0.412 0.124 0.588
Se22 0.912 0.824 0.536
Se23 0.536 0.212 0.124
Se24 0.624 0.588 0.912
Se25 0.288 0.876 0.964
Se26 0.124 0.412 0.088
Se27 0.288 0.412 0.824
Se28 0.036 0.624 0.712
Se29 0.588 0.964 0.676
Se30 0.624 0.036 0.212
Se31 0.964 0.376 0.288
Se32 0.324 0.788 0.412
Se33 0.412 0.036 0.324
Se34 0.912 0.824 0.788
Se35 0.788 0.464 0.376
Se36 0.824 0.912 0.288
Se37 0.912 0.088 0.624
Se38 0.464 0.676 0.088
Se39 0.712 0.124 0.036
Se40 0.712 0.588 0.176
Se41 0.588 0.624 0.412
Se42 0.088 0.176 0.212
Se43 0.376 0.964 0.788
Se44 0.676 0.212 0.588
Se45 0.036 0.412 0.824
Se46 0.176 0.088 0.712
Se47 0.876 0.288 0.464
Se48 0.212 0.676 0.088
Sc1 0.000 0.500 0.000
Sc2 0.375 0.125 0.750
Sc3 0.250 0.875 0.125
Sc4 0.500 0.000 0.000
Sc5 0.875 0.250 0.625
Sc6 0.000 0.500 0.500
Sc7 0.375 0.250 0.125
Sc8 0.500 0.000 0.500
Sc9 0.125 0.750 0.375
Sc10 0.625 0.875 0.250
Sc11 0.125 0.375 0.250
Sc12 0.750 0.625 0.375
Sc13 0.500 0.500 0.500
Sc14 0.500 0.500 0.000
Sc15 0.250 0.375 0.625
Sc16 0.000 0.000 0.500
Sc17 0.625 0.750 0.875
Sc18 0.875 0.625 0.750
Sc19 0.000 0.000 0.000
Sc20 0.750 0.125 0.875
La1 0.750 0.875 0.625
La2 0.250 0.125 0.375
La3 0.125 0.250 0.875
La4 0.875 0.750 0.125
La5 0.125 0.875 0.750
La6 0.625 0.375 0.750
La7 0.375 0.750 0.625
La8 0.250 0.625 0.875
La9 0.875 0.125 0.250
La10 0.750 0.375 0.125
La11 0.375 0.625 0.250
La12 0.625 0.250 0.375
```

## Properties
The calculated total energy is -6.150 eV per atom. The calculation puts the uncorrected formation energy at -1.737 eV per atom.